Entry 1:
# Ta3AgGe | Alexandria | GGA-PBE | relaxed
# **N(E_F)**: 1.16 states/eV/atom
# **DFT total energy**: -6.653 eV per atom
# **Formation enthalpy at 0 K**: 942 kJ/mol of formula units
# **Magnetization**: 0.000 μB per atom
data_Ta3AgGe
_space_group_name_H-M_alt 'P m -3 m'
_space_group_IT_number 221
_space_group_name_Hall '-P 4 2 3'
_cell_length_a 4.884
_cell_length_b 4.884
_cell_length_c 4.884
_cell_angle_alpha 90.00
_cell_angle_beta 90.00
_cell_angle_gamma 90.00
loop_
_atom_site_label
_atom_site_fract_x
_atom_site_fract_y
_atom_site_fract_z
Ta1 0.000 0.000 0.500
Ag1 0.000 0.000 0.000
Ge1 0.500 0.500 0.500



Entry 2:
# Ta2Ag2Ge | Alexandria | GGA-PBE | relaxed
# **N(E_F)**: 0.71 states/eV/atom
# **DFT total energy**: -6.351 eV per atom
# **Formation enthalpy at 0 K**: 219 kJ/mol of formula units
# **Magnetization**: 0.000 μB per atom
data_Ta2Ag2Ge
_space_group_name_H-M_alt 'P 4/m b m'
_space_group_IT_number 127
_space_group_name_Hall '-P 4 2ab'
_cell_length_a 6.670
_cell_length_b 6.670
_cell_length_c 4.367
_cell_angle_alpha 90.00
_cell_angle_beta 90.00
_cell_angle_gamma 90.00
loop_
_atom_site_label
_atom_site_fract_x
_atom_site_fract_y
_atom_site_fract_z
Ta1 0.146 0.354 0.000
Ag1 0.150 0.650 0.500
Ge1 0.000 0.000 0.000



Entry 3:
# Ta3AgGe | Alexandria | GGA-PBE | relaxed
# **N(E_F)**: 0.11 states/eV/atom
# **DFT total energy**: -7.476 eV per atom
# **Formation enthalpy at 0 K**: 545 kJ/mol of formula units
# **Magnetization**: 0.000 μB per atom
data_Ta3AgGe
_space_group_name_H-M_alt 'P m -3 m'
_space_group_IT_number 221
_space_group_name_Hall '-P 4 2 3'
_cell_length_a 4.735
_cell_length_b 4.735
_cell_length_c 4.735
_cell_angle_alpha 90.00
_cell_angle_beta 90.00
_cell_angle_gamma 90.00
loop_
_atom_site_label
_atom_site_fract_x
_atom_site_fract_y
_atom_site_fract_z
Ta1 0.000 0.000 0.500
Ag1 0.500 0.500 0.500
Ge1 0.000 0.000 0.000



Entry 4:
# Ta2Ag2Ge | Alexandria | GGA-PBE | relaxed
# **N(E_F)**: 0.58 states/eV/atom
# **DFT total energy**: -6.150 eV per atom
# **Formation enthalpy at 0 K**: 316 kJ/mol of formula units
# **Magnetization**: 0.000 μB per atom
data_Ta2Ag2Ge
_space_group_name_H-M_alt 'P 4/m b m'
_space_group_IT_number 127
_space_group_name_Hall '-P 4 2ab'
_cell_length_a 8.212
_cell_length_b 8.212
_cell_length_c 2.888
_cell_angle_alpha 90.00
_cell_angle_beta 90.00
_cell_angle_gamma 90.00
loop_
_atom_site_label
_atom_site_fract_x
_atom_site_fract_y
_atom_site_fract_z
Ta1 0.117 0.383 0.000
Ag1 0.177 0.677 0.500
Ge1 0.000 0.000 0.500